Entry 1:
First-principles (PBE-GGA) data for CaBe3 after structural relaxation, as listed in the Alexandria database.

Cell lengths 8.4751, 8.4751, 8.4751 Å; angles 18.95, 18.95, 18.95 degrees
Closest atoms and distances in Å follow each position.
Element x y z (fractional)
Ca1 0.0000 0.0000 0.0000  6 Ca 2.79, 6 Be 2.97
Be1 0.7668 0.7668 0.7668  3 Be 2.31
Be2 0.5000 0.5000 0.5000  6 Be 2.31
Be3 0.2332 0.2332 0.2332  3 Be 2.31

Volume = 56 Å³/f.u.
Energy of formation = 908 meV per atom

---

Entry 2:
First-principles (PBE-GGA) data for BaTl2Re after structural relaxation, as listed in the Alexandria database.

Cell lengths 6.0668, 6.6666, 3.1114 Å; angles 78.41, 85.90, 116.00 degrees
Closest atoms and distances in Å follow each position.
Element x y z (fractional)
Re1 0.5000 0.5000 0.0000  2 Re 3.11, 2 Ba 3.31, 4 Tl 3.38
Tl1 0.5000 0.0000 0.5000  4 Tl 3.11-3.31, 2 Re 3.38, 2 Ba 3.38
Tl2 0.0000 0.0000 0.0000  4 Tl 3.11-3.31, 2 Ba 3.38, 2 Re 3.38
Ba1 0.0000 0.5000 0.5000  2 Ba 3.11, 2 Re 3.31, 4 Tl 3.38

Volume = 109 Å³/f.u.
Energy of formation = 992 meV per atom

---

Entry 3:
First-principles (PBE-GGA) data for BaY2Mo after structural relaxation, as listed in the Alexandria database.

Cell lengths 5.6569, 5.6569, 3.7100 Å; angles 90.00, 90.00, 104.76 degrees
Closest atoms and distances in Å follow each position.
Element x y z (fractional)
Mo1 0.0000 0.5000 0.5000  8 Y 3.38, 2 Ba 3.45, 2 Mo 3.71
Y1 0.0000 0.0000 0.0000  4 Ba 3.38, 4 Mo 3.38, 4 Y 3.45-3.71
Ba1 0.5000 0.0000 0.5000  8 Y 3.38, 2 Mo 3.45, 2 Ba 3.71
Y2 0.5000 0.5000 0.0000  4 Mo 3.38, 4 Ba 3.38, 4 Y 3.45-3.71

Volume = 115 Å³/f.u.
Energy of formation = 796 meV per atom

---

Entry 4:
First-principles (PBE-GGA) data for HgIrRu2 after structural relaxation, as listed in the Alexandria database.

Cell lengths 5.6122, 5.6122, 5.6122 Å; angles 151.25, 130.42, 58.32 degrees
Closest atoms and distances in Å follow each position.
Element x y z (fractional)
Hg1 0.5017 0.5017 0.0000  6 Ru 2.74-3.01, 2 Hg 2.79, 2 Ir 3.02
Ru1 0.9959 0.9959 0.0000  4 Ru 2.58-2.79, 2 Ir 2.67, 4 Hg 2.74
Ru2 0.7744 0.2744 0.5000  4 Ru 2.58-2.79, 4 Ir 2.77
Ir1 0.2279 0.7279 0.5000  6 Ru 2.67-2.77, 2 Ir 2.79

Volume = 64 Å³/f.u.
Energy of formation = 545 meV per atom